1.
5
Lattice="4.8816 0.0000 0.0000 0.0000 4.8816 0.0000 0.0000 0.0000 4.8816" Properties=species:S:1:pos:R:3 comment="AlCuSe3 PBE relaxed" raw_formation_energy_ev_per_atom=0.371 e_above_lowest_polymorph_mev_per_atom=0 pbc="T T T"
Cu 2.4408 2.4408 2.4408
Se 0.0000 2.4408 0.0000
Se 0.0000 0.0000 2.4408
Se 2.4408 0.0000 0.0000
Al 0.0000 0.0000 0.0000

***

2.
4
Lattice="3.4725 0.0000 0.0000 0.0000 3.5229 0.1492 0.0000 2.1407 6.0442" Properties=species:S:1:pos:R:3 comment="Al2CuSe PBE relaxed" raw_formation_energy_ev_per_atom=-0.078 pbc="T T T"
Cu 0.0000 3.2894 2.4375
Se 1.7362 3.7875 5.0884
Al 0.0000 5.5259 6.0713
Al 1.7362 1.5562 1.8863

***

3.
4
Lattice="4.6092 0.0000 0.0000 2.3046 3.9917 0.0000 2.3046 1.3306 3.7634" Properties=species:S:1:pos:R:3 comment="Al2CuSe PBE relaxed" raw_formation_energy_ev_per_atom=0.277 pbc="T T T"
Cu 4.6092 2.6611 1.8817
Se 6.9137 3.9917 2.8225
Al 0.0000 0.0000 0.0000
Al 2.3046 1.3306 0.9408

***

4.
22
Lattice="17.2169 -0.0054 0.0000 15.4829 7.5301 0.0000 -16.3499 -3.7623 3.8662" Properties=species:S:1:pos:R:3 comment="Al2Cu3Se6 PBE relaxed" raw_formation_energy_ev_per_atom=-0.407 pbc="T T T"
Se 23.6716 3.4870 0.0900
Se -3.6570 -2.8113 3.8527
Se 0.8683 2.0911 3.8434
Se 9.4364 2.2638 1.9103
Se -1.2765 -0.3172 2.0230
Se 20.4404 4.6898 1.9197
Se -6.8731 -1.6739 1.9559
Se 15.0632 3.4897 1.8431
Se 4.0845 0.9537 1.9465
Se 6.4649 3.4479 3.7762
Se 11.8320 4.6925 0.0134
Se 18.0449 2.2611 0.0228
Al 14.1598 1.2748 1.9331
Al 3.0571 -1.2801 1.9331
Al 5.5514 1.2775 0.0000
Al 27.1485 6.2472 0.0000
Cu 8.6085 -0.0027 1.9331
Cu 13.2598 5.0349 1.9331
Cu 2.2231 2.4952 1.9331
Cu 21.8682 5.0322 0.0000
Cu 10.8316 2.4925 0.0000
Cu 0.0000 0.0000 0.0000

***

5.
4
Lattice="-0.9453 4.0927 -4.2953 1.3224 -0.2760 -5.8539 -2.5060 -2.9419 4.5998" Properties=species:S:1:pos:R:3 comment="Al2CuSe PBE relaxed" raw_formation_energy_ev_per_atom=0.114 pbc="T T T"
Cu 0.1886 1.9083 -5.0746
Se -1.6314 1.5296 -2.3850
Al 0.0000 0.0000 0.0000
Al -0.4975 -0.6548 -3.1644

***

6.
4
Lattice="-0.5017 -2.5264 2.3383 1.1437 -2.4056 -2.3537 5.5603 0.7177 1.9683" Properties=species:S:1:pos:R:3 comment="Al2CuSe PBE relaxed" raw_formation_energy_ev_per_atom=-0.067 pbc="T T T"
Cu 2.1066 0.2719 0.7457
Se 4.9492 -1.8686 1.6307
Al 5.4183 0.6994 1.9180
Al 2.0687 -2.2404 0.6110

***

7.
6
Lattice="3.9328 1.2667 3.9533 -1.4802 0.2881 5.5159 1.7817 -4.0231 3.6523" Properties=species:S:1:pos:R:3 comment="AlCuSe4 PBE relaxed" raw_formation_energy_ev_per_atom=0.655 pbc="T T T"
Al 3.1757 -1.8512 9.8412
Cu 0.0000 0.0000 0.0000
Se 3.5573 -0.2903 6.8979
Se 2.4795 -2.9408 6.7472
Se 0.8451 -0.7806 7.6809
Se 1.5867 -0.9250 4.9171

***

8.
5
Lattice="-3.3658 -2.0400 2.7564 3.4290 -2.0435 2.6747 0.0367 3.8407 2.8872" Properties=species:S:1:pos:R:3 comment="AlCuSe3 PBE relaxed" raw_formation_energy_ev_per_atom=0.413 e_above_lowest_polymorph_mev_per_atom=42 pbc="T T T"
Cu 0.0000 0.0000 0.0000
Se 1.7145 -1.0217 1.3374
Se 0.0183 1.9203 1.4436
Se -1.6829 -1.0200 1.3782
Al 0.0499 -0.1214 4.1592

***

9.
10
Lattice="-1.8119 6.6735 -0.7570 -6.3209 -1.9594 -2.1445 -1.1323 0.0645 3.2786" Properties=species:S:1:pos:R:3 comment="AlCu2Se2 PBE relaxed" raw_formation_energy_ev_per_atom=0.113 e_above_lowest_polymorph_mev_per_atom=0 pbc="T T T"
Cu -6.1970 0.7804 -2.1556
Cu -5.5433 4.6006 -2.0049
Cu -1.9358 3.9337 -0.7459
Cu -2.5895 0.1135 -0.8965
Se -5.2154 -0.0845 0.0359
Se -6.9675 2.9900 -0.6297
Se -4.0497 4.8631 0.3412
Se -2.2975 1.7886 1.0068
Al 0.0000 0.0000 0.0000
Al -4.0664 2.3571 -1.4507

***

10.
4
Lattice="-0.2199 4.2157 -2.6867 -4.8614 1.1364 0.3387 4.0280 -0.4947 2.9274" Properties=species:S:1:pos:R:3 comment="Al2CuSe PBE relaxed" raw_formation_energy_ev_per_atom=0.111 pbc="T T T"
Cu 0.6337 3.1985 -0.4666
Se -1.6870 1.6588 1.0461
Al -5.0497 5.3188 -2.3334
Al -2.5723 2.7094 -1.1886

***

11.
4
Lattice="-3.7995 0.8379 1.5108 -0.0482 -4.4611 -3.2893 0.0944 -2.7808 2.0259" Properties=species:S:1:pos:R:3 comment="Al2CuSe PBE relaxed" raw_formation_energy_ev_per_atom=0.049 pbc="T T T"
Se -1.9238 -1.8116 -0.8893
Cu 0.0231 -3.6210 -0.6317
Al 0.0000 0.0000 0.0000
Al -1.8525 -0.9715 1.7683

***

12.
4
Lattice="-1.0274 2.2092 -2.3606 -1.2247 -2.0231 -1.3604 -6.0839 1.1685 3.7415" Properties=species:S:1:pos:R:3 comment="Al2CuSe PBE relaxed" raw_formation_energy_ev_per_atom=-0.162 pbc="T T T"
Se -5.9952 0.4636 0.6055
Cu -2.3409 0.8909 -0.5850
Al -1.1549 -1.4720 -0.8750
Al -3.7241 -0.9784 0.7051

***

13.
7
Lattice="-3.6151 0.0981 3.9122 0.1378 -5.3195 0.2608 4.3392 0.3086 4.0020" Properties=species:S:1:pos:R:3 comment="Al2CuSe4 PBE relaxed" raw_formation_energy_ev_per_atom=-0.625 e_above_lowest_polymorph_mev_per_atom=2 pbc="T T T"
Al 0.3620 0.2034 3.9571
Al 2.2385 -2.5054 2.1314
Cu 0.0000 0.0000 0.0000
Se 0.6530 -1.0887 5.9837
Se 0.1434 -1.2940 2.0672
Se 2.4379 -3.6655 4.2470
Se -1.5105 -3.7773 4.0520

***

14.
7
Lattice="4.9434 0.0000 -1.9769 -0.7906 4.8798 -1.9769 -0.0643 -0.0756 7.0083" Properties=species:S:1:pos:R:3 comment="Al2CuSe4 PBE relaxed" raw_formation_energy_ev_per_atom=-0.627 e_above_lowest_polymorph_mev_per_atom=0 pbc="T T T"
Se 1.0586 4.2966 -0.7543
Se 2.6144 3.0720 2.7698
Se 4.0720 1.7321 -0.7543
Se 0.4319 0.5075 4.8477
Al 0.6108 3.6220 1.5272
Al 3.4777 1.1821 1.5272
Cu 2.0764 2.4399 -1.9769